No. 1
## KAcCN2 (PBE)

Data for a relaxed KAcCN2 crystal.

The value obtained for the volume is 554 Å³ per cell. The value obtained for the energy relative to the elements, uncorrected is -446 meV/atom.

The structure belongs to space group Cmme (No. 67); the cell edges are 8.568, 11.582 and 5.579 Å and the angles 90.00°, 90.00° and 90.00°. The asymmetric unit holds K at (0.000, 0.250, 0.001), Ac at (0.250, 0.000, 0.500), C at (0.000, 0.000, 0.000) and N at (0.000, 0.000, 0.222).

No. 2
## KAcC3N6 (PBE)

Data for a relaxed KAcC3N6 crystal.

The value obtained for the volume is 619 Å³ per cell. The value obtained for the energy relative to the elements, uncorrected is -173 meV/atom.

The structure belongs to space group R-3m (No. 166, hexagonal axes); the cell edges are 9.3822, 9.3822 and 8.1154 Å and the angles 90.00°, 90.00° and 120.00°. The asymmetric unit holds K at (0.0000, 0.0000, 0.0000), Ac at (0.0000, 0.0000, 0.5000), C at (0.0000, 0.5000, 0.5000) and N at (0.0998, 0.5499, 0.3858).

No. 3
## K2AcC2O6 (PBE)

Data for a relaxed K2AcC2O6 crystal.

The value obtained for the volume is 207 Å³ per cell. The value obtained for the energy relative to the elements, uncorrected is -1856 meV/atom.

The structure belongs to space group P-3 (No. 147); the cell edges are 5.9472, 5.9472 and 6.7610 Å and the angles 90.00°, 90.00° and 120.00°. The asymmetric unit holds K at (0.3333, 0.6667, 0.3412), Ac at (0.0000, 0.0000, 0.0000), C at (0.3333, 0.6667, 0.8258) and O at (0.1598, 0.4201, 0.8171).

Q: Among the records above, which one has the lowest energy relative to the elements, uncorrected?
A: K2AcC2O6

Q: Look up the energy relative to the elements, uncorrected of the third one.
A: -1856 meV/atom